# 1
Density functional theory data (PBE-GGA) for GaH3 after structural relaxation.

Output
- M_tot (Bohr magnetons per cell) = 0.00
- E (eV/atom) = -3.05
- calculated volume (A^3/atom) = 11.1
- SG = P4mm

abc: 3.270 3.270 4.152
angles: 90.00 90.00 90.00
Atoms (fractional coordinates):
Ga 0.000 0.000 0.000
H 0.000 0.000 0.622
H 0.000 0.500 0.140
H 0.500 0.000 0.140

# 2
Density functional theory data (PBE-GGA) for In2CCl after structural relaxation.

Output
- formation energy without anion corrections (eV/atom) = 0.370
- M_tot (Bohr magnetons per cell) = 0.00
- E (eV/atom) = -3.77
- calculated volume (A^3/atom) = 25.3
- SG = I-42d

abc: 6.951 6.951 6.951
angles: 127.99 127.99 76.64
Atoms (fractional coordinates):
In 0.023 0.625 0.898
In 0.375 0.273 0.398
In 0.727 0.125 0.102
In 0.875 0.977 0.602
C 0.000 0.000 0.000
C 0.750 0.250 0.500
Cl 0.250 0.750 0.500
Cl 0.500 0.500 0.000

# 3
Density functional theory data (PBE-GGA) for AsC3 after structural relaxation.

Output
- M_tot (Bohr magnetons per cell) = 0.00
- E (eV/atom) = -6.24
- calculated volume (A^3/atom) = 12.6
- DFT formation energy (kJ/mol of atoms) = 177.3
- SG = Imm2

abc: 4.929 4.929 4.929
angles: 144.49 60.37 132.87
Atoms (fractional coordinates):
As 0.000 0.000 0.000
C 0.225 0.825 0.401
C 0.424 0.825 0.599
C 0.621 0.121 0.500

# 4
Density functional theory data (PBE-GGA) for Ca2Y4H after structural relaxation.

Output
- M_tot (Bohr magnetons per cell) = 0.00
- E (eV/atom) = -4.63
- calculated volume (A^3/atom) = 31.1
- SG = I4/mmm

abc: 9.507 9.507 9.507
angles: 149.75 149.75 43.31
Atoms (fractional coordinates):
Ca 0.160 0.160 0.000
Ca 0.840 0.840 0.000
Y 0.000 0.500 0.500
Y 0.363 0.363 0.000
Y 0.500 0.000 0.500
Y 0.637 0.637 0.000
H 0.500 0.500 0.000

# 5
Density functional theory data (PBE-GGA) for Fe5Au after structural relaxation.

Output
- M_tot (Bohr magnetons per cell) = 13.35
- E (eV/atom) = -7.47
- calculated volume (A^3/atom) = 13.0
- DFT formation energy (kJ/mol of atoms) = 12.0
- SG = Cmmm

abc: 6.194 6.194 4.078
angles: 90.00 90.00 150.15
Atoms (fractional coordinates):
Fe 0.000 0.000 0.000
Fe 0.175 0.825 0.500
Fe 0.332 0.668 0.000
Fe 0.668 0.332 0.000
Fe 0.825 0.175 0.500
Au 0.500 0.500 0.500

# 6
Density functional theory data (PBE-GGA) for Mg2TlPd8 after structural relaxation.

Output
- M_tot (Bohr magnetons per cell) = 0.00
- E (eV/atom) = -4.60
- calculated volume (A^3/atom) = 16.7
- DFT formation energy (kJ/mol of atoms) = -31.0
- SG = Immm

abc: 7.444 7.444 7.444
angles: 146.29 125.77 65.40
Atoms (fractional coordinates):
Mg 0.195 0.195 0.000
Mg 0.805 0.805 0.000
Tl 0.500 0.500 0.000
Pd 0.060 0.345 0.715
Pd 0.200 0.000 0.200
Pd 0.343 0.843 0.500
Pd 0.371 0.655 0.715
Pd 0.629 0.345 0.285
Pd 0.657 0.157 0.500
Pd 0.800 0.000 0.800
Pd 0.940 0.655 0.285

# 7
Density functional theory data (PBE-GGA) for BaSrHg2 after structural relaxation.

Output
- M_tot (Bohr magnetons per cell) = 0.00
- E (eV/atom) = -1.46
- calculated volume (A^3/atom) = 40.5
- DFT formation energy (kJ/mol of atoms) = -39.0
- SG = R3m

abc: 9.041 9.041 9.041
angles: 29.83 29.83 29.83
Atoms (fractional coordinates):
Ba 0.000 0.000 0.000
Sr 0.830 0.830 0.830
Hg 0.244 0.244 0.244
Hg 0.420 0.420 0.420

# 8
Density functional theory data (PBE-GGA) for SbIrOs2 after structural relaxation.

Output
- formation energy without anion corrections (eV/atom) = 0.453
- M_tot (Bohr magnetons per cell) = 0.00
- E (eV/atom) = -8.41
- calculated volume (A^3/atom) = 15.7
- SG = I-4m2

abc: 4.819 4.819 4.819
angles: 130.74 130.74 72.23
Atoms (fractional coordinates):
Sb 0.000 0.000 0.000
Ir 0.250 0.750 0.500
Os 0.500 0.500 0.000
Os 0.750 0.250 0.500

# 9
Density functional theory data (PBE-GGA) for PmAl3Fe2 after structural relaxation.

Output
- M_tot (Bohr magnetons per cell) = 5.98
- E (eV/atom) = -5.84
- calculated volume (A^3/atom) = 17.0
- DFT formation energy (kJ/mol of atoms) = -34.7
- SG = Cmcm

abc: 6.387 6.387 5.107
angles: 90.00 90.00 78.97
Atoms (fractional coordinates):
Pm 0.158 0.842 0.750
Pm 0.842 0.158 0.250
Al 0.035 0.574 0.250
Al 0.426 0.965 0.250
Al 0.455 0.545 0.250
Al 0.545 0.455 0.750
Al 0.574 0.035 0.750
Al 0.965 0.426 0.750
Fe 0.287 0.287 0.000
Fe 0.287 0.287 0.500
Fe 0.713 0.713 0.000
Fe 0.713 0.713 0.500

# 10
Density functional theory data (PBE-GGA) for TbPmEr5 after structural relaxation.

Output
- M_tot (Bohr magnetons per cell) = 0.00
- E (eV/atom) = -3.48
- calculated volume (A^3/atom) = 41.7
- DFT formation energy (kJ/mol of atoms) = 107.9
- SG = Immm

abc: 7.862 7.862 7.862
angles: 137.16 113.91 82.04
Atoms (fractional coordinates):
Tb 0.000 0.000 0.000
Pm 0.500 0.500 0.000
Er 0.178 0.500 0.678
Er 0.256 0.256 0.000
Er 0.500 0.000 0.500
Er 0.744 0.744 0.000
Er 0.822 0.500 0.322

# 11
Density functional theory data (PBE-GGA) for CaCd4Hg after structural relaxation.

Output
- M_tot (Bohr magnetons per cell) = 0.00
- E (eV/atom) = -1.19
- calculated volume (A^3/atom) = 24.6
- DFT formation energy (kJ/mol of atoms) = -19.2
- SG = P-1

abc: 5.093 5.186 6.490
angles: 97.30 90.58 119.24
Atoms (fractional coordinates):
Ca 0.000 0.000 0.000
Cd 0.309 0.625 0.746
Cd 0.361 0.718 0.255
Cd 0.639 0.282 0.745
Cd 0.691 0.375 0.254
Hg 0.000 0.000 0.500

# 12
Density functional theory data (PBE-GGA) for La3Pr8Nd2 after structural relaxation.

Output
- M_tot (Bohr magnetons per cell) = 0.00
- E (eV/atom) = -4.61
- calculated volume (A^3/atom) = 37.3
- DFT formation energy (kJ/mol of atoms) = 19.4
- SG = C2/m

abc: 11.243 11.243 5.872
angles: 90.04 90.04 40.73
Atoms (fractional coordinates):
La 0.000 0.000 0.000
La 0.292 0.708 0.500
La 0.708 0.292 0.500
Pr 0.135 0.135 0.500
Pr 0.185 0.601 0.999
Pr 0.326 0.326 0.498
Pr 0.399 0.815 0.001
Pr 0.601 0.185 0.999
Pr 0.674 0.674 0.502
Pr 0.815 0.399 0.001
Pr 0.865 0.865 0.500
Nd 0.242 0.242 0.998
Nd 0.758 0.758 0.002

# 13
Density functional theory data (PBE-GGA) for Ac3ThAl8 after structural relaxation.

Output
- M_tot (Bohr magnetons per cell) = 0.00
- E (eV/atom) = -4.50
- calculated volume (A^3/atom) = 23.7
- DFT formation energy (kJ/mol of atoms) = -34.4
- SG = R3m

abc: 10.120 10.120 10.120
angles: 33.70 33.70 33.70
Atoms (fractional coordinates):
Ac 0.000 0.000 0.000
Ac 0.125 0.125 0.125
Ac 0.499 0.499 0.499
Th 0.625 0.625 0.625
Al 0.058 0.561 0.561
Al 0.064 0.064 0.565
Al 0.064 0.565 0.064
Al 0.312 0.312 0.312
Al 0.561 0.058 0.561
Al 0.561 0.561 0.058
Al 0.565 0.064 0.064
Al 0.812 0.812 0.812

# 14
Density functional theory data (PBE-GGA) for NaTcO3 after structural relaxation.

Output
- formation energy without anion corrections (eV/atom) = -1.470
- M_tot (Bohr magnetons per cell) = 0.00
- E (eV/atom) = -6.78
- calculated volume (A^3/atom) = 18.9
- SG = Amm2

abc: 2.838 6.149 6.149
angles: 61.95 90.00 90.00
Atoms (fractional coordinates):
Na 0.000 0.000 0.000
Tc 0.500 0.334 0.334
O 0.000 0.202 0.587
O 0.000 0.587 0.202
O 0.500 0.169 0.169

# 15
Density functional theory data (PBE-GGA) for Sc2Mn3Co after structural relaxation.

Output
- M_tot (Bohr magnetons per cell) = 2.84
- E (eV/atom) = -8.06
- calculated volume (A^3/atom) = 13.9
- DFT formation energy (kJ/mol of atoms) = -17.9
- SG = R-3m

abc: 4.998 4.998 4.998
angles: 57.68 57.68 57.68
Atoms (fractional coordinates):
Sc 0.124 0.124 0.124
Sc 0.876 0.876 0.876
Mn 0.000 0.500 0.500
Mn 0.500 0.000 0.500
Mn 0.500 0.500 0.000
Co 0.500 0.500 0.500